# LiThH6Rh | Alexandria | PBE | optimized geometry
# E in eV per cell: -40.246
# Total magnetic moment in μB per cell: 0.0
# Crystal system: hexagonal
data_LiThH6Rh
_symmetry_space_group_name_H-M 'P 1'
_symmetry_Int_Tables_number 1
_cell_length_a 4.5133
_cell_length_b 4.5133
_cell_length_c 4.4087
_cell_angle_alpha 90.00
_cell_angle_beta 90.00
_cell_angle_gamma 120.00
loop_
_symmetry_equiv_pos_as_xyz
'x,y,z'
loop_
_atom_site_label
_atom_site_type_symbol
_atom_site_fract_x
_atom_site_fract_y
_atom_site_fract_z
Li1 Li 0.0000 0.0000 0.0000
Th1 Th 0.6667 0.3333 0.5000
H1 H 0.1733 0.3466 0.2728
H2 H 0.1733 0.3466 0.7272
H3 H 0.1733 0.8267 0.2728
H4 H 0.1733 0.8267 0.7272
H5 H 0.6534 0.8267 0.2728
H6 H 0.6534 0.8267 0.7272
Rh1 Rh 0.3333 0.6667 0.0000